Material: PmPr3Nd7
Method: DFT, GGA-PBE
State: optimized geometry

Cell: 3.6610 11.2211 11.2211 Å, 120.00 90.00 90.00°
Closest atoms and distances in Å follow each position.
Fractional positions:
Pm1 0.1465 0.6667 0.3333  6 Pr 3.42, 2 Pm 3.66, 3 Nd 3.82
Pr1 0.6462 0.5178 0.0356  2 Nd 3.37, 2 Pm 3.42, 2 Pr 3.66
Pr2 0.6462 0.9644 0.4822  2 Nd 3.37, 2 Pm 3.42, 2 Pr 3.66
Pr3 0.6462 0.5178 0.4822  2 Nd 3.37, 2 Pm 3.42, 2 Pr 3.66
Nd1 0.1470 0.8630 0.7261  6 Nd 3.58-3.66, 1 Pm 3.82, 4 Pr 3.90-3.91
Nd2 0.1470 0.2739 0.1370  6 Nd 3.58-3.66, 1 Pm 3.82, 4 Pr 3.90-3.91
Nd3 0.1470 0.3333 0.6667  8 Nd 3.60-3.66, 6 Pr 4.02-4.03
Nd4 0.6473 0.1735 0.3471  2 Pr 3.37, 8 Nd 3.58-3.66
Nd5 0.6473 0.1735 0.8265  2 Pr 3.37, 8 Nd 3.58-3.66
Nd6 0.6473 0.6529 0.8265  2 Pr 3.37, 8 Nd 3.58-3.66
Nd7 0.1470 0.8630 0.1370  6 Nd 3.58-3.66, 1 Pm 3.82, 4 Pr 3.90-3.91

Properties
calculated formation energy = 0.14 eV/atom
excess energy over the best structure of this formula in the dataset = 0.000 eV per atom